# Li2TiTeO2 (PBE, optimized geometry)
data_Li2TiTeO2
_cell_length_a 3.8670
_cell_length_b 3.8670
_cell_length_c 5.7456
_cell_angle_alpha 90.00
_cell_angle_beta 90.00
_cell_angle_gamma 90.00
_space_group_name_H-M_alt 'P 4/m m m'
_space_group_IT_number 123
_space_group_name_Hall '-P 4 2'
loop_
_atom_site_label
_atom_site_type_symbol
_atom_site_fract_x
_atom_site_fract_y
_atom_site_fract_z
Li1 Li 0.0000 0.0000 0.2219
Ti1 Ti 0.5000 0.5000 0.0000
Te1 Te 0.5000 0.5000 0.5000
O1 O 0.0000 0.5000 0.0000
# DOS(E_F) in states/eV per atom: 0.119
# Formation energy (no corrections) in kJ/mol of atoms: -186